# MnZnRe2Ir, optimized geometry, DFT PBE
data_MnZnRe2Ir
_cell_length_a 4.421
_cell_length_b 4.421
_cell_length_c 4.161
_cell_angle_alpha 90.00
_cell_angle_beta 90.00
_cell_angle_gamma 90.00
_space_group_name_H-M_alt 'P 4/m m m'
_space_group_IT_number 123
_space_group_name_Hall '-P 4 2'
loop_
_atom_site_label
_atom_site_fract_x
_atom_site_fract_y
_atom_site_fract_z
Mn1 0.000 0.000 0.000
Zn1 0.000 0.000 0.500
Re1 0.000 0.500 0.500
Ir1 0.500 0.500 0.000
# Total energy   -6.899 eV per atom